Computed, not measured: a relaxed structure of MgFeAsO4 at the GGA+U level of DFT.

Cell: 5.8988 6.0765 6.0765 Å, 62.85 60.96 60.96°
Each line ends with the local moment (μB).
Element x y z (fractional)
Mg1 0.0000 0.0000 0.0000  0.00
Mg2 0.0000 0.5000 0.5000  0.00
Fe1 0.5000 0.0000 0.5000  3.69
Fe2 0.0000 0.0000 0.5000  3.69
As1 0.6359 0.6141 0.1141  -0.08
As2 0.3641 0.3859 0.8859  -0.08
O1 0.7557 0.7592 0.7293  -0.06
O2 0.2443 0.7707 0.7408  -0.06
O3 0.7557 0.2293 0.2592  -0.06
O4 0.2443 0.2408 0.2707  -0.06
O5 0.2555 0.7448 0.2448  -0.04
O6 0.7549 0.7448 0.2448  -0.04
O7 0.2451 0.2552 0.7552  -0.04
O8 0.7445 0.2552 0.7552  -0.04

Values from the calculation:
DFT total energy ... -6.14 eV/atom